The following is a PBE calculation of a relaxed structure of NiOsSCl2, from the Alexandria database.

Structure (POSCAR):
```
NiOsSCl2
1.0
-3.834 -1.849 -1.228
2.165 -2.576 -2.881
0.526 -3.327 3.370
Ni S Os Cl
1 1 1 2
Direct
0.000 0.000 0.000 Ni
0.000 0.000 0.500 S
0.500 0.500 0.500 Os
0.000 0.500 0.000 Cl
0.500 0.000 0.000 Cl
```

Summary:
- Formation energy without anion corrections: 1.032 eV per atom